Version A
Below is a geometry-optimized Re2RuCl structure, with properties calculated at the PBE-GGA level.

Cell lengths 2.8406, 4.0915, 5.2392 Å; angles 90.00, 104.92, 90.00 degrees
Space group P2/m (No. 10)
Inequivalent atoms, fractional coordinates:
1 Re 0.1439 0.0000 0.2547 [2 per cell]
2 Ru 0.5000 0.5000 0.0000 [1 per cell]
3 Cl 0.5000 0.5000 0.5000 [1 per cell]

**D(E_F)**: 3.6 states/eV per cell

=====

Version B
Below is a geometry-optimized Re2RuCl structure, with properties calculated at the PBE-GGA level.

Cell lengths 2.8562, 4.5212, 8.9152 Å; angles 90.00, 90.00, 90.00 degrees
Space group Imm2 (No. 44)
Inequivalent atoms, fractional coordinates:
1 Re 0.0000 0.0000 0.0000 [2 per cell]
2 Re 0.0000 0.5000 0.2318 [2 per cell]
3 Ru 0.0000 0.0000 0.4634 [2 per cell]
4 Cl 0.0000 0.5000 0.7283 [2 per cell]

**D(E_F)**: 7.9 states/eV per cell

=====

Version C
Below is a geometry-optimized Re2RuCl structure, with properties calculated at the PBE-GGA level.

Cell lengths 2.7737, 2.7737, 7.7688 Å; angles 90.00, 90.00, 90.00 degrees
Space group P4/mmm (No. 123)
Inequivalent atoms, fractional coordinates:
1 Re 0.0000 0.0000 0.2420 [2 per cell]
2 Ru 0.5000 0.5000 0.0000 [1 per cell]
3 Cl 0.5000 0.5000 0.5000 [1 per cell]

**D(E_F)**: 2.6 states/eV per cell

=====

Energy comparison, zero being the most stable, in eV/atom: version A 0.065; version B 0.104; version C 0.000.

=====

Version A
Below is a geometry-optimized Re2RuCl structure, with properties calculated at the PBE-GGA level.

Cell lengths 2.8374, 2.8374, 25.5820 Å; angles 90.00, 90.00, 120.00 degrees
Space group R3m (No. 160, hexagonal axes)
Inequivalent atoms, fractional coordinates:
1 Re 0.0000 0.0000 0.0000 [3 per cell]
2 Re 0.0000 0.0000 0.2481 [3 per cell]
3 Ru 0.0000 0.0000 0.4991 [3 per cell]
4 Cl 0.0000 0.0000 0.7471 [3 per cell]

**D(E_F)**: 10.1 states/eV per cell

=====

Version B
Below is a geometry-optimized Re2RuCl structure, with properties calculated at the PBE-GGA level.

Cell lengths 6.2295, 6.2295, 6.2295 Å; angles 90.00, 90.00, 90.00 degrees
Space group F-43m (No. 216)
Inequivalent atoms, fractional coordinates:
1 Re 0.0000 0.0000 0.0000 [4 per cell]
2 Re 0.2500 0.2500 0.2500 [4 per cell]
3 Ru 0.0000 0.0000 0.5000 [4 per cell]
4 Cl 0.2500 0.2500 0.7500 [4 per cell]

**D(E_F)**: 9.5 states/eV per cell

=====

Version C
Below is a geometry-optimized Re2RuCl structure, with properties calculated at the PBE-GGA level.

Cell lengths 2.8733, 2.8733, 7.2602 Å; angles 90.00, 90.00, 90.00 degrees
Space group P4mm (No. 99)
Inequivalent atoms, fractional coordinates:
1 Re 0.0000 0.0000 0.0000 [1 per cell]
2 Re 0.5000 0.5000 0.2404 [1 per cell]
3 Ru 0.0000 0.0000 0.4861 [1 per cell]
4 Cl 0.5000 0.5000 0.7459 [1 per cell]

**D(E_F)**: 4.0 states/eV per cell

=====

Energy comparison, zero being the most stable, in eV/atom: version A 0.000; version B 0.695; version C 0.135.

=====

Version A
Below is a geometry-optimized Re3RuCl structure, with properties calculated at the PBE-GGA level.

Cell lengths 4.7530, 4.7530, 4.7530 Å; angles 90.00, 90.00, 90.00 degrees
Space group Pm-3m (No. 221)
Inequivalent atoms, fractional coordinates:
1 Re 0.0000 0.0000 0.5000 [3 per cell]
2 Ru 0.0000 0.0000 0.0000 [1 per cell]
3 Cl 0.5000 0.5000 0.5000 [1 per cell]

**D(E_F)**: 4.7 states/eV per cell

=====

Version B
Below is a geometry-optimized Re3RuCl structure, with properties calculated at the PBE-GGA level.

Cell lengths 4.3035, 4.3035, 4.3035 Å; angles 90.00, 90.00, 90.00 degrees
Space group Pm-3m (No. 221)
Inequivalent atoms, fractional coordinates:
1 Re 0.0000 0.0000 0.5000 [3 per cell]
2 Ru 0.5000 0.5000 0.5000 [1 per cell]
3 Cl 0.0000 0.0000 0.0000 [1 per cell]

**D(E_F)**: 6.0 states/eV per cell

=====

Energy comparison, zero being the most stable, in eV/atom: version A 0.707; version B 0.000.

=====

Version A
Below is a geometry-optimized ReRuCl2 structure, with properties calculated at the PBE-GGA level.

Cell lengths 2.9650, 2.9650, 25.1403 Å; angles 90.00, 90.00, 120.00 degrees
Space group R-3m (No. 166, hexagonal axes)
Inequivalent atoms, fractional coordinates:
1 Re 0.0000 0.0000 0.0000 [3 per cell]
2 Ru 0.0000 0.0000 0.5000 [3 per cell]
3 Cl 0.0000 0.0000 0.0902 [6 per cell]

**D(E_F)**: 12.8 states/eV per cell

=====

Version B
Below is a geometry-optimized ReRuCl2 structure, with properties calculated at the PBE-GGA level.

Cell lengths 2.8551, 5.2979, 9.7160 Å; angles 90.00, 90.00, 90.00 degrees
Space group Cmm2 (No. 35)
Inequivalent atoms, fractional coordinates:
1 Re 0.0000 0.0000 0.0000 [2 per cell]
2 Ru 0.0000 0.5000 0.2238 [2 per cell]
3 Cl 0.0000 0.0000 0.4284 [2 per cell]
4 Cl 0.0000 0.5000 0.7947 [2 per cell]

**D(E_F)**: 10.5 states/eV per cell

=====

Version C
Below is a geometry-optimized ReRuCl2 structure, with properties calculated at the PBE-GGA level.

Cell lengths 2.8346, 4.2453, 5.2523 Å; angles 90.00, 90.00, 90.00 degrees
Space group Pmmm (No. 47)
Inequivalent atoms, fractional coordinates:
1 Re 0.0000 0.0000 0.0000 [1 per cell]
2 Ru 0.5000 0.0000 0.5000 [1 per cell]
3 Cl 0.0000 0.5000 0.5000 [1 per cell]
4 Cl 0.5000 0.5000 0.0000 [1 per cell]

**D(E_F)**: 3.4 states/eV per cell

=====

Energy comparison, zero being the most stable, in eV/atom: version A 0.279; version B 0.000; version C 0.508.

=====

Version A
Below is a geometry-optimized ReRuCl2 structure, with properties calculated at the PBE-GGA level.

Cell lengths 13.1404, 2.9187, 4.5845 Å; angles 90.00, 97.17, 90.00 degrees
Space group C2/m (No. 12)
Inequivalent atoms, fractional coordinates:
1 Re 0.0000 0.0000 0.0000 [2 per cell]
2 Ru 0.0000 0.5000 0.5000 [2 per cell]
3 Cl 0.1382 0.5000 0.2086 [4 per cell]

**D(E_F)**: 6.0 states/eV per cell

=====

Version B
Below is a geometry-optimized ReRuCl2 structure, with properties calculated at the PBE-GGA level.

Cell lengths 2.9272, 2.9272, 8.5830 Å; angles 90.00, 90.00, 90.00 degrees
Space group P4mm (No. 99)
Inequivalent atoms, fractional coordinates:
1 Re 0.0000 0.0000 0.0000 [1 per cell]
2 Ru 0.5000 0.5000 0.1840 [1 per cell]
3 Cl 0.0000 0.0000 0.3905 [1 per cell]
4 Cl 0.5000 0.5000 0.7995 [1 per cell]

**D(E_F)**: 1.3 states/eV per cell

=====

Energy comparison, zero being the most stable, in eV/atom: version A 0.367; version B 0.000.

=====

Version A
Below is a geometry-optimized Re2SCl structure, with properties calculated at the PBE-GGA level.

Cell lengths 5.2434, 5.2434, 10.5869 Å; angles 90.00, 90.00, 90.00 degrees
Space group I-42d (No. 122)
Inequivalent atoms, fractional coordinates:
1 Re 0.2382 0.2500 0.1250 [8 per cell]
2 S 0.0000 0.0000 0.0000 [4 per cell]
3 Cl 0.0000 0.0000 0.5000 [4 per cell]

**D(E_F)**: 4.5 states/eV per cell

=====

Version B
Below is a geometry-optimized Re2SCl structure, with properties calculated at the PBE-GGA level.

Cell lengths 6.0435, 6.0435, 6.0435 Å; angles 90.00, 90.00, 90.00 degrees
Space group Fm-3m (No. 225)
Inequivalent atoms, fractional coordinates:
1 Re 0.2500 0.2500 0.2500 [8 per cell]
2 S 0.0000 0.0000 0.0000 [4 per cell]
3 Cl 0.0000 0.0000 0.5000 [4 per cell]

**D(E_F)**: 15.6 states/eV per cell

=====

Energy comparison, zero being the most stable, in eV/atom: version A 0.000; version B 0.127.

=====

Version A
Below is a geometry-optimized ReSCl2 structure, with properties calculated at the PBE-GGA level.

Cell lengths 2.9988, 2.9988, 30.3821 Å; angles 90.00, 90.00, 120.00 degrees
Space group R-3m (No. 166, hexagonal axes)
Inequivalent atoms, fractional coordinates:
1 Re 0.0000 0.0000 0.0000 [3 per cell]
2 S 0.0000 0.0000 0.5000 [3 per cell]
3 Cl 0.0000 0.0000 0.3920 [6 per cell]

**D(E_F)**: 9.2 states/eV per cell

=====

Version B
Below is a geometry-optimized ReSCl2 structure, with properties calculated at the PBE-GGA level.

Cell lengths 2.8818, 2.8818, 36.8740 Å; angles 90.00, 90.00, 120.00 degrees
Space group R-3m (No. 166, hexagonal axes)
Inequivalent atoms, fractional coordinates:
1 Re 0.0000 0.0000 0.0000 [3 per cell]
2 S 0.0000 0.0000 0.5000 [3 per cell]
3 Cl 0.0000 0.0000 0.0605 [6 per cell]

**D(E_F)**: 12.4 states/eV per cell

=====

Version C
Below is a geometry-optimized ReSCl2 structure, with properties calculated at the PBE-GGA level.

Cell lengths 6.0655, 6.2316, 10.1170 Å; angles 88.81, 89.10, 89.87 degrees
Space group P-1 (No. 2)
Inequivalent atoms, fractional coordinates:
1 Re 0.0350 0.2576 0.3857 [2 per cell]
2 Re 0.4618 0.7548 0.8926 [2 per cell]
3 S 0.1779 0.8310 0.7728 [2 per cell]
4 S 0.3485 0.3542 0.2875 [2 per cell]
5 Cl 0.1753 0.4150 0.5956 [2 per cell]
6 Cl 0.2220 0.9228 0.4410 [2 per cell]
7 Cl 0.2729 0.4189 0.9544 [2 per cell]
8 Cl 0.3169 0.9257 0.0994 [2 per cell]

**D(E_F)**: 2.2 states/eV per cell

=====

Energy comparison, zero being the most stable, in eV/atom: version A 0.980; version B 0.849; version C 0.000.

=====

Version A
Below is a geometry-optimized ReSCl2 structure, with properties calculated at the PBE-GGA level.

Cell lengths 8.8737, 8.8737, 4.4689 Å; angles 90.00, 90.00, 90.00 degrees
Space group I-42d (No. 122)
Inequivalent atoms, fractional coordinates:
1 Re 0.0000 0.0000 0.0000 [4 per cell]
2 S 0.0000 0.0000 0.5000 [4 per cell]
3 Cl 0.1066 0.7500 0.1250 [8 per cell]

**D(E_F)**: 6.6 states/eV per cell

=====

Version B
Below is a geometry-optimized ReSCl2 structure, with properties calculated at the PBE-GGA level.

Cell lengths 3.1578, 4.3969, 8.0424 Å; angles 100.15, 99.22, 108.13 degrees
Space group P1 (No. 1)
Inequivalent atoms, fractional coordinates:
1 Re 0.0000 0.0000 0.0000 [1 per cell]
2 S 0.3371 0.6221 0.0000 [1 per cell]
3 Cl 0.2168 0.2397 0.2920 [1 per cell]
4 Cl 0.8626 0.9723 0.7080 [1 per cell]

**D(E_F)**: 3.0 states/eV per cell

=====

Version C
Below is a geometry-optimized ReSCl2 structure, with properties calculated at the PBE-GGA level.

Cell lengths 6.3361, 6.3361, 6.3361 Å; angles 90.00, 90.00, 90.00 degrees
Space group Fm-3m (No. 225)
Inequivalent atoms, fractional coordinates:
1 Re 0.0000 0.0000 0.0000 [4 per cell]
2 S 0.0000 0.0000 0.5000 [4 per cell]
3 Cl 0.2500 0.2500 0.2500 [8 per cell]

**D(E_F)**: 23.9 states/eV per cell

=====

Energy comparison, zero being the most stable, in eV/atom: version A 0.266; version B 0.000; version C 1.620.

=====

Version A
Below is a geometry-optimized ReSbS2Cl structure, with properties calculated at the PBE-GGA level.

Cell lengths 5.1056, 5.1056, 5.1121 Å; angles 90.00, 90.00, 90.00 degrees
Space group P4/mmm (No. 123)
Inequivalent atoms, fractional coordinates:
1 Re 0.0000 0.0000 0.0000 [1 per cell]
2 Sb 0.5000 0.5000 0.5000 [1 per cell]
3 S 0.0000 0.5000 0.5000 [2 per cell]
4 Cl 0.5000 0.5000 0.0000 [1 per cell]

**D(E_F)**: 2.0 states/eV per cell

=====

Version B
Below is a geometry-optimized ReSbS2Cl structure, with properties calculated at the PBE-GGA level.

Cell lengths 4.6242, 4.6242, 4.9250 Å; angles 90.00, 90.00, 90.00 degrees
Space group P4/mmm (No. 123)
Inequivalent atoms, fractional coordinates:
1 Re 0.0000 0.0000 0.0000 [1 per cell]
2 Sb 0.5000 0.5000 0.5000 [1 per cell]
3 S 0.0000 0.5000 0.0000 [2 per cell]
4 Cl 0.0000 0.0000 0.5000 [1 per cell]

**D(E_F)**: 5.7 states/eV per cell

=====

Energy comparison, zero being the most stable, in eV/atom: version A 0.843; version B 0.000.

=====

Version A
Below is a geometry-optimized ScReSCl2 structure, with properties calculated at the PBE-GGA level.

Cell lengths 4.9333, 4.9333, 4.4952 Å; angles 90.00, 90.00, 90.00 degrees
Space group P4/mmm (No. 123)
Inequivalent atoms, fractional coordinates:
1 Sc 0.0000 0.0000 0.0000 [1 per cell]
2 Re 0.5000 0.5000 0.5000 [1 per cell]
3 S 0.5000 0.5000 0.0000 [1 per cell]
4 Cl 0.0000 0.5000 0.5000 [2 per cell]

**D(E_F)**: 5.0 states/eV per cell

=====

Version B
Below is a geometry-optimized ScReSCl2 structure, with properties calculated at the PBE-GGA level.

Cell lengths 5.0346, 5.0346, 4.9910 Å; angles 90.00, 90.00, 90.00 degrees
Space group P4/mmm (No. 123)
Inequivalent atoms, fractional coordinates:
1 Sc 0.0000 0.0000 0.0000 [1 per cell]
2 Re 0.5000 0.5000 0.5000 [1 per cell]
3 S 0.0000 0.0000 0.5000 [1 per cell]
4 Cl 0.0000 0.5000 0.0000 [2 per cell]

**D(E_F)**: 0.2 states/eV per cell

=====

Energy comparison, zero being the most stable, in eV/atom: version A 0.093; version B 0.000.

=====

Version A
Below is a geometry-optimized ReSeSCl2 structure, with properties calculated at the PBE-GGA level.

Cell lengths 5.0145, 5.0145, 4.9921 Å; angles 90.00, 90.00, 90.00 degrees
Space group P4/mmm (No. 123)
Inequivalent atoms, fractional coordinates:
1 Re 0.0000 0.0000 0.0000 [1 per cell]
2 Se 0.5000 0.5000 0.5000 [1 per cell]
3 S 0.5000 0.5000 0.0000 [1 per cell]
4 Cl 0.0000 0.5000 0.5000 [2 per cell]

**D(E_F)**: 1.7 states/eV per cell

=====

Version B
Below is a geometry-optimized ReSeSCl2 structure, with properties calculated at the PBE-GGA level.

Cell lengths 4.7806, 4.7806, 5.0834 Å; angles 90.00, 90.00, 90.00 degrees
Space group P4/mmm (No. 123)
Inequivalent atoms, fractional coordinates:
1 Re 0.0000 0.0000 0.0000 [1 per cell]
2 Se 0.5000 0.5000 0.0000 [1 per cell]
3 S 0.5000 0.5000 0.5000 [1 per cell]
4 Cl 0.0000 0.5000 0.5000 [2 per cell]

**D(E_F)**: 1.6 states/eV per cell

=====

Energy comparison, zero being the most stable, in eV/atom: version A 0.035; version B 0.000.

=====

Version A
Below is a geometry-optimized ReSnS2Cl structure, with properties calculated at the PBE-GGA level.

Cell lengths 4.6315, 4.6315, 5.0245 Å; angles 90.00, 90.00, 90.00 degrees
Space group P4/mmm (No. 123)
Inequivalent atoms, fractional coordinates:
1 Re 0.0000 0.0000 0.0000 [1 per cell]
2 Sn 0.5000 0.5000 0.5000 [1 per cell]
3 S 0.0000 0.5000 0.0000 [2 per cell]
4 Cl 0.0000 0.0000 0.5000 [1 per cell]

**D(E_F)**: 4.7 states/eV per cell

=====

Version B
Below is a geometry-optimized ReSnS2Cl structure, with properties calculated at the PBE-GGA level.

Cell lengths 5.0576, 5.0576, 5.0295 Å; angles 90.00, 90.00, 90.00 degrees
Space group P4/mmm (No. 123)
Inequivalent atoms, fractional coordinates:
1 Re 0.0000 0.0000 0.0000 [1 per cell]
2 Sn 0.5000 0.5000 0.5000 [1 per cell]
3 S 0.0000 0.5000 0.5000 [2 per cell]
4 Cl 0.5000 0.5000 0.0000 [1 per cell]

**D(E_F)**: 2.3 states/eV per cell

=====

Energy comparison, zero being the most stable, in eV/atom: version A 0.000; version B 0.970.